TiSiO4: optimized geometry, GGA-PBE.

Values from the calculation:
Its total energy is -8.291 eV per atom.

Structure (CIF):
```
data_TiSiO4
_chemical_formula_sum 'Ti4 Si4 O16'
_cell_length_a 6.342
_cell_length_b 6.342
_cell_length_c 5.942
_cell_angle_alpha 90.00
_cell_angle_beta 90.00
_cell_angle_gamma 90.00
_symmetry_space_group_name_H-M 'I 41/a m d'
_symmetry_Int_Tables_number 141
loop_
_symmetry_equiv_pos_as_xyz
'x,y,z'
'-x,-y,-z'
'-y+1/4,x+3/4,z+1/4'
'y+1/4,-x+3/4,-z+1/4'
'-x+1/2,-y,z+1/2'
'x+1/2,y,-z+1/2'
'y+1/4,-x+1/4,z+3/4'
'-y+1/4,x+1/4,-z+3/4'
'x,-y,-z'
'-x,y,z'
'-y+1/4,-x+1/4,-z+3/4'
'y+1/4,x+1/4,z+3/4'
'-x+1/2,y,-z+1/2'
'x+1/2,-y,z+1/2'
'y+1/4,x+3/4,-z+1/4'
'-y+1/4,-x+3/4,z+1/4'
'x+1/2,y+1/2,z+1/2'
'-x+1/2,-y+1/2,-z+1/2'
'-y+3/4,x+1/4,z+3/4'
'y+3/4,-x+1/4,-z+3/4'
'-x,-y+1/2,z'
'x,y+1/2,-z'
'y+3/4,-x+3/4,z+1/4'
'-y+3/4,x+3/4,-z+1/4'
'x+1/2,-y+1/2,-z+1/2'
'-x+1/2,y+1/2,z+1/2'
'-y+3/4,-x+3/4,-z+1/4'
'y+3/4,x+3/4,z+1/4'
'-x,y+1/2,-z'
'x,-y+1/2,z'
'y+3/4,x+1/4,-z+3/4'
'-y+3/4,-x+1/4,z+3/4'
loop_
_atom_site_label
_atom_site_fract_x
_atom_site_fract_y
_atom_site_fract_z
Ti1 0.000 0.250 0.375
Si1 0.000 0.250 0.875
O1 0.000 0.059 0.690
```